Entry 1:
! Pm5Tl2Co (GGA-PBE, optimized geometry); values from VASP
! DFT total energy (eV per atom): -4.694
! Distance to the lowest polymorph of the same formula (meV/atom): 0.0
! Calculated volume (Å³/atom): 29.27
! ΔE_f (eV/atom): -0.2455
&SYSTEM
  ibrav = 0, nat = 16, ntyp = 3
/
ATOMIC_SPECIES
Pm 145.00 Pm.upf
Tl 204.38 Tl.upf
Co 58.93 Co.upf
CELL_PARAMETERS angstrom
8.182 0.000 0.000
0.000 12.051 0.000
0.000 0.000 4.749
ATOMIC_POSITIONS crystal
Pm 0.000 0.000 0.000
Pm 0.133 0.304 0.000
Pm 0.182 0.568 0.500
Pm 0.318 0.068 0.500
Pm 0.367 0.804 0.000
Pm 0.500 0.500 0.000
Pm 0.633 0.196 0.000
Pm 0.682 0.932 0.500
Pm 0.818 0.432 0.500
Pm 0.867 0.696 0.000
Tl 0.075 0.830 0.500
Tl 0.425 0.330 0.500
Tl 0.575 0.670 0.500
Tl 0.925 0.170 0.500
Co 0.000 0.500 0.000
Co 0.500 0.000 0.000

---

Entry 2:
! Pm6TlCo (GGA-PBE, optimized geometry); values from VASP
! DFT total energy (eV per atom): -4.757
! Calculated volume (Å³/atom): 31.63
! ΔE_f (eV/atom): -0.0099
&SYSTEM
  ibrav = 0, nat = 16, ntyp = 3
/
ATOMIC_SPECIES
Pm 145.00 Pm.upf
Tl 204.38 Tl.upf
Co 58.93 Co.upf
CELL_PARAMETERS angstrom
8.026 0.000 0.000
0.000 10.228 0.000
-1.667 0.000 6.165
ATOMIC_POSITIONS crystal
Pm 0.116 0.189 0.283
Pm 0.116 0.811 0.283
Pm 0.218 0.500 0.124
Pm 0.282 0.000 0.876
Pm 0.384 0.311 0.717
Pm 0.384 0.689 0.717
Pm 0.616 0.311 0.283
Pm 0.616 0.689 0.283
Pm 0.718 0.000 0.124
Pm 0.782 0.500 0.876
Pm 0.884 0.189 0.717
Pm 0.884 0.811 0.717
Tl 0.000 0.500 0.500
Tl 0.500 0.000 0.500
Co 0.000 0.000 0.000
Co 0.500 0.500 0.000

---

Entry 3:
! Pm5TlCo (GGA-PBE, optimized geometry); values from VASP
! DFT total energy (eV per atom): -4.802
! Calculated volume (Å³/atom): 29.94
! ΔE_f (eV/atom): -0.0555
&SYSTEM
  ibrav = 0, nat = 14, ntyp = 3
/
ATOMIC_SPECIES
Pm 145.00 Pm.upf
Tl 204.38 Tl.upf
Co 58.93 Co.upf
CELL_PARAMETERS angstrom
5.450 -3.514 0.000
5.450 3.514 0.000
-3.942 0.000 10.942
ATOMIC_POSITIONS crystal
Pm 0.006 0.994 0.750
Pm 0.030 0.407 0.636
Pm 0.200 0.559 0.952
Pm 0.407 0.030 0.136
Pm 0.441 0.800 0.548
Pm 0.559 0.200 0.452
Pm 0.593 0.970 0.864
Pm 0.800 0.441 0.048
Pm 0.970 0.593 0.364
Pm 0.994 0.006 0.250
Tl 0.466 0.534 0.250
Tl 0.534 0.466 0.750
Co 0.000 0.000 0.000
Co 0.000 0.000 0.500

---

Entry 4:
! PmTmTlCo (GGA-PBE, optimized geometry); values from VASP
! DFT total energy (eV per atom): -4.766
! Calculated volume (Å³/atom): 24.07
! ΔE_f (eV/atom): -0.0922
&SYSTEM
  ibrav = 0, nat = 16, ntyp = 4
/
ATOMIC_SPECIES
Pm 145.00 Pm.upf
Tm 168.93 Tm.upf
Tl 204.38 Tl.upf
Co 58.93 Co.upf
CELL_PARAMETERS angstrom
7.276 0.000 0.000
0.000 7.276 0.000
0.000 0.000 7.276
ATOMIC_POSITIONS crystal
Pm 0.000 0.000 0.000
Pm 0.000 0.500 0.500
Pm 0.500 0.000 0.500
Pm 0.500 0.500 0.000
Tm 0.000 0.000 0.500
Tm 0.000 0.500 0.000
Tm 0.500 0.000 0.000
Tm 0.500 0.500 0.500
Tl 0.250 0.250 0.250
Tl 0.250 0.750 0.750
Tl 0.750 0.250 0.750
Tl 0.750 0.750 0.250
Co 0.250 0.250 0.750
Co 0.250 0.750 0.250
Co 0.750 0.250 0.250
Co 0.750 0.750 0.750

---

Entry 5:
! PmYTlCo (GGA-PBE, optimized geometry); values from VASP
! DFT total energy (eV per atom): -5.272
! Calculated volume (Å³/atom): 24.65
! ΔE_f (eV/atom): -0.1000
&SYSTEM
  ibrav = 0, nat = 16, ntyp = 4
/
ATOMIC_SPECIES
Pm 145.00 Pm.upf
Y 88.91 Y.upf
Tl 204.38 Tl.upf
Co 58.93 Co.upf
CELL_PARAMETERS angstrom
7.334 0.000 0.000
0.000 7.334 0.000
0.000 0.000 7.334
ATOMIC_POSITIONS crystal
Pm 0.000 0.000 0.000
Pm 0.000 0.500 0.500
Pm 0.500 0.000 0.500
Pm 0.500 0.500 0.000
Y 0.000 0.000 0.500
Y 0.000 0.500 0.000
Y 0.500 0.000 0.000
Y 0.500 0.500 0.500
Tl 0.250 0.250 0.750
Tl 0.250 0.750 0.250
Tl 0.750 0.250 0.250
Tl 0.750 0.750 0.750
Co 0.250 0.250 0.250
Co 0.250 0.750 0.750
Co 0.750 0.250 0.750
Co 0.750 0.750 0.250

---

Entry 6:
! Pm8TmCo2 (GGA-PBE, optimized geometry); values from VASP
! DFT total energy (eV per atom): -5.075
! Calculated volume (Å³/atom): 31.63
! ΔE_f (eV/atom): 0.0789
&SYSTEM
  ibrav = 0, nat = 11, ntyp = 3
/
ATOMIC_SPECIES
Pm 145.00 Pm.upf
Tm 168.93 Tm.upf
Co 58.93 Co.upf
CELL_PARAMETERS angstrom
6.153 -4.161 0.000
6.153 4.161 0.000
-2.679 0.000 6.796
ATOMIC_POSITIONS crystal
Pm 0.087 0.693 0.685
Pm 0.178 0.178 0.818
Pm 0.307 0.913 0.315
Pm 0.372 0.372 0.311
Pm 0.628 0.628 0.689
Pm 0.693 0.087 0.685
Pm 0.822 0.822 0.182
Pm 0.913 0.307 0.315
Tm 0.500 0.500 0.000
Co 0.316 0.316 0.614
Co 0.684 0.684 0.386